The following is a DFT calculation (PBE-GGA) of YTm5Th after structural relaxation.

crystal system	monoclinic
symmetry	No. 15
energy of formation from the pure elements	0.22	eV per atom
total moment	0.000	μB per formula unit

Cell: 6.3916 8.6581 12.7492 Å, 47.02 90.00 111.66°
Element x y z (fractional)
Y: 0.7451 0.0000 0.2500
Y: 0.2549 0.0000 0.7500
Tm: 0.2467 0.4792 0.9359
Tm: 0.6625 0.3267 0.3988
Tm: 0.2325 0.4792 0.4359
Tm: 0.2525 0.0000 0.2500
Tm: 0.3358 0.6733 0.1012
Tm: 0.6642 0.3267 0.8988
Tm: 0.7475 0.0000 0.7500
Tm: 0.7675 0.5208 0.5641
Tm: 0.3375 0.6733 0.6012
Tm: 0.7533 0.5208 0.0641
Th: 0.0000 0.0000 0.0000
Th: 0.0000 0.0000 0.5000

The following is a DFT calculation (PBE-GGA) of Ta4CoRu3 after structural relaxation.

crystal system	tetragonal
symmetry	No. 139
energy of formation from the pure elements	-0.26	eV per atom
total moment	1.382	μB per formula unit

Cell: 4.3237 4.3238 7.3792 Å, 107.08 107.04 90.00°
Element x y z (fractional)
Ru: 0.0000 0.5000 0.0000
Ru: 0.7501 0.2501 0.5001
Ru: 0.2499 0.7499 0.4999
Co: 0.5000 0.0000 0.0000
Ta: 0.3770 0.3770 0.7540
Ta: 0.6230 0.6230 0.2460
Ta: 0.1230 0.1230 0.2460
Ta: 0.8770 0.8770 0.7540

The following is a DFT calculation (PBE-GGA) of NdY2Th after structural relaxation.

crystal system	cubic
symmetry	No. 225
energy of formation from the pure elements	0.14	eV per atom
polymorph energy (0 for the lowest one)	0.136	eV/atom
total moment	0.000	μB per formula unit

Cell: 5.7308 5.7308 5.7308 Å, 60.00 60.00 60.00°
Element x y z (fractional)
Y: 0.2500 0.2500 0.2500
Y: 0.7500 0.7500 0.7500
Nd: 0.0000 0.0000 0.0000
Th: 0.5000 0.5000 0.5000

The following is a DFT calculation (PBE-GGA) of MgNpPd2 after structural relaxation.

crystal system	tetragonal
symmetry	No. 123
energy of formation from the pure elements	-0.34	eV per atom
total moment	4.181	μB per formula unit

Cell: 2.9955 5.0435 5.0435 Å, 90.00 90.00 90.00°
Element x y z (fractional)
Np: 0.5000 0.0000 0.0000
Mg: 0.5000 0.5000 0.5000
Pd: 0.0000 0.0000 0.5000
Pd: 0.0000 0.5000 0.0000

The following is a DFT calculation (PBE-GGA) of AsIrAuClO after structural relaxation.

crystal system	monoclinic
symmetry	No. 6
polymorph energy (0 for the lowest one)	0.157	eV/atom
total moment	0.000	μB per formula unit

Cell: 5.0498 3.3754 6.0205 Å, 90.00 92.25 90.00°
Element x y z (fractional)
As: 0.2424 0.0000 0.8134
Ir: 0.1033 0.5000 0.5436
Au: 0.4226 0.0000 0.3552
Cl: 0.7746 0.5000 0.2171
O: 0.8968 0.0000 0.7003

The following is a DFT calculation (PBE-GGA) of NdY2Ge after structural relaxation.

crystal system	trigonal
symmetry	No. 166
energy of formation from the pure elements	-0.26	eV per atom
polymorph energy (0 for the lowest one)	0.011	eV/atom
total moment	0.000	μB per formula unit

Cell: 3.7668 3.7668 10.1393 Å, 79.30 79.30 60.00°
Element x y z (fractional)
Y: 0.2694 0.2694 0.1919
Y: 0.7306 0.7306 0.8081
Ge: 0.0000 0.0000 0.0000
Nd: 0.5000 0.5000 0.5000

The following is a DFT calculation (PBE-GGA) of Ag3SbP after structural relaxation.

crystal system	cubic
symmetry	No. 221
polymorph energy (0 for the lowest one)	0.487	eV/atom
total moment	2.919	μB per formula unit

Cell: 5.2865 5.2865 5.2865 Å, 90.00 90.00 90.00°
Element x y z (fractional)
Sb: 0.0000 0.0000 0.0000
Ag: 0.0000 0.5000 0.0000
Ag: 0.0000 0.0000 0.5000
Ag: 0.5000 0.0000 0.0000
P: 0.5000 0.5000 0.5000

The following is a DFT calculation (PBE-GGA) of KZn2BO4 after structural relaxation.

crystal system	tetragonal
symmetry	No. 121
E	-43.721	eV per cell
total moment	0.000	μB per formula unit

Cell: 5.0502 5.0502 4.9935 Å, 120.37 120.37 90.01°
Element x y z (fractional)
K: 0.0001 0.0001 0.0002
Zn: 0.7501 0.2500 0.5001
Zn: 0.2500 0.7501 0.5001
B: 0.5000 0.5000 0.0000
O: 0.5458 0.5458 0.7486
O: 0.4542 0.7971 0.2514
O: 0.7971 0.4542 0.2514
O: 0.2029 0.2029 0.7487